Record 1
Here is ZrInPO after structural relaxation from OQMD. Energies are from PBE.

Computed properties:
Final energy, eV per cell: -52.3
Symmetry: P4/nmm
Polymorph energy (0 for the lowest one), eV per formula unit: 0.55

abc: 3.7548 3.7548 10.0513
angles: 90.00 90.00 90.00
Last column: nearest neighbours and their distance in Å.
Fractional positions:
1 Zr 0.2500 0.2500 0.1193  4 O 2.23
2 Zr 0.7500 0.7500 0.8807  4 O 2.23
3 In 0.2500 0.7500 0.5000  4 In 2.66
4 In 0.7500 0.2500 0.5000  4 In 2.66
5 P 0.2500 0.2500 0.7508  4 Zr 2.96, 4 O 3.13, 4 In 3.14
6 P 0.7500 0.7500 0.2492  4 Zr 2.96, 4 O 3.13, 4 In 3.14
7 O 0.2500 0.7500 0.0000  4 Zr 2.23
8 O 0.7500 0.2500 0.0000  4 Zr 2.23

=====

Record 2
Here is ZrInPO after structural relaxation from OQMD. Energies are from PBE.

Computed properties:
Final energy, eV per cell: -52.9
Symmetry: Pmc2_1
Polymorph energy (0 for the lowest one), eV per formula unit: 0.26

abc: 3.9405 6.7431 7.1056
angles: 90.00 90.00 90.00
Last column: nearest neighbours and their distance in Å.
Fractional positions:
1 Zr 0.0000 0.1284 0.0000  2 O 1.99-2.00
2 Zr 0.0000 0.8716 0.5000  2 O 1.99-2.00
3 In 0.5000 0.2709 0.5609  2 P 2.64-2.72
4 In 0.5000 0.7291 0.0609  2 P 2.64-2.72
5 P 0.5000 0.3616 0.9339  2 Zr 2.56, 2 In 2.64-2.72
6 P 0.5000 0.6384 0.4339  2 Zr 2.56, 2 In 2.64-2.72
7 O 0.0000 0.0367 0.2684  2 Zr 1.99-2.00
8 O 0.0000 0.9633 0.7684  2 Zr 1.99-2.00

=====

Record 3
Here is ZrInPO after structural relaxation from OQMD. Energies are from PBE.

Computed properties:
Final energy, eV per cell: -53.4
Symmetry: Pmc2_1
Polymorph energy (0 for the lowest one), eV per formula unit: 0.00

abc: 3.8952 8.1398 5.3453
angles: 90.00 90.00 90.00
Last column: nearest neighbours and their distance in Å.
Fractional positions:
1 Zr 0.0000 0.1392 0.0000  2 O 2.03
2 Zr 0.0000 0.8608 0.5000  2 O 2.03
3 In 0.5000 0.3925 0.5440  2 P 2.62, 1 O 2.83
4 In 0.5000 0.6075 0.0440  2 P 2.62, 1 O 2.83
5 P 0.0000 0.1787 0.4952  3 Zr 2.59-2.72, 2 In 2.62
6 P 0.0000 0.8213 0.9952  3 Zr 2.59-2.72, 2 In 2.62
7 O 0.5000 0.2076 0.9919  2 Zr 2.03
8 O 0.5000 0.7924 0.4919  2 Zr 2.03

=====

Record 4
Here is PaInO3 after structural relaxation from OQMD. Energies are from PBE.

Computed properties:
Final energy, eV per cell: -152.7
Symmetry: Pnma

abc: 6.2013 8.7860 6.1854
angles: 90.00 90.00 90.00
Last column: nearest neighbours and their distance in Å.
Fractional positions:
1 Pa 0.0000 0.0000 0.0000  6 O 2.21
2 Pa 0.0000 0.5000 0.0000  6 O 2.21
3 Pa 0.5000 0.0000 0.5000  6 O 2.21
4 Pa 0.5000 0.5000 0.5000  6 O 2.21
5 In 0.0020 0.2500 0.5003  9 O 2.84-3.14
6 In 0.4980 0.7500 0.0003  9 O 2.84-3.14
7 In 0.5020 0.2500 0.9997  9 O 2.84-3.14
8 In 0.9980 0.7500 0.4997  9 O 2.84-3.14
9 O 0.0016 0.2500 0.0381  2 Pa 2.21
10 O 0.2255 0.5188 0.2746  2 Pa 2.21
11 O 0.2255 0.9812 0.2746  2 Pa 2.21
12 O 0.2745 0.0188 0.7746  2 Pa 2.21
13 O 0.2745 0.4812 0.7746  2 Pa 2.21
14 O 0.4984 0.7500 0.5381  2 Pa 2.21
15 O 0.5016 0.2500 0.4619  2 Pa 2.21
16 O 0.7255 0.5188 0.2254  2 Pa 2.21
17 O 0.7255 0.9812 0.2254  2 Pa 2.21
18 O 0.7745 0.0188 0.7254  2 Pa 2.21
19 O 0.7745 0.4812 0.7254  2 Pa 2.21
20 O 0.9984 0.7500 0.9619  2 Pa 2.21

=====

Record 5
Here is PaInO3 after structural relaxation from OQMD. Energies are from PBE.

Computed properties:
Final energy, eV per cell: -76.3
Symmetry: R-3c

abc: 6.1907 6.1907 6.1907
angles: 60.25 60.25 60.25
Last column: nearest neighbours and their distance in Å.
Fractional positions:
1 Pa 0.0000 0.0000 0.0000  6 O 2.21
2 Pa 0.5000 0.5000 0.5000  6 O 2.21
3 In 0.2500 0.2500 0.2500  9 O 2.86-3.10
4 In 0.7500 0.7500 0.7500  9 O 2.86-3.10
5 O 0.2108 0.7500 0.2892  2 Pa 2.21
6 O 0.2500 0.7108 0.7892  2 Pa 2.21
7 O 0.2892 0.2108 0.7500  2 Pa 2.21
8 O 0.7108 0.7892 0.2500  2 Pa 2.21
9 O 0.7500 0.2892 0.2108  2 Pa 2.21
10 O 0.7892 0.2500 0.7108  2 Pa 2.21

=====

Record 6
Here is Pa2InO4 after structural relaxation from OQMD. Energies are from PBE.

Computed properties:
Final energy, eV per cell: -111.8
Symmetry: Fd-3m

abc: 7.3639 7.3639 7.3639
angles: 60.00 60.00 60.00
Last column: nearest neighbours and their distance in Å.
Fractional positions:
1 Pa 0.0000 0.0000 0.0000  6 O 2.34
2 Pa 0.0000 0.0000 0.5000  6 O 2.34
3 Pa 0.0000 0.5000 0.0000  6 O 2.34
4 Pa 0.5000 0.0000 0.0000  6 O 2.34
5 In 0.3750 0.3750 0.3750  4 O 2.78
6 In 0.6250 0.6250 0.6250  4 O 2.78
7 O 0.1621 0.7793 0.7793  3 Pa 2.34
8 O 0.2207 0.2207 0.2207  3 Pa 2.34
9 O 0.2207 0.2207 0.8379  3 Pa 2.34
10 O 0.2207 0.8379 0.2207  3 Pa 2.34
11 O 0.7793 0.1621 0.7793  3 Pa 2.34
12 O 0.7793 0.7793 0.1621  3 Pa 2.34
13 O 0.7793 0.7793 0.7793  3 Pa 2.34
14 O 0.8379 0.2207 0.2207  3 Pa 2.34